Density functional theory data (GGA-PBE) for an optimized crystal structure of NaGa2CoP.

Lattice parameters (Å, degrees): 4.944 4.944 4.196 90.00 90.00 90.00
Space group P4/mmm (No. 123)
Asymmetric unit:
Na (0.000, 0.000, 0.000) [1 per cell]
Ga (0.000, 0.500, 0.500) [2 per cell]
Co (0.500, 0.500, 0.000) [1 per cell]
P (0.500, 0.500, 0.500) [1 per cell]

## Properties
Formation energy from the elements, eV/atom: 0.2553

Density functional theory data (GGA-PBE) for an optimized crystal structure of NaGa2CoPb.

Lattice parameters (Å, degrees): 4.640 4.640 5.156 90.00 90.00 90.00
Space group P4/mmm (No. 123)
Asymmetric unit:
Na (0.000, 0.000, 0.000) [1 per cell]
Ga (0.000, 0.500, 0.500) [2 per cell]
Co (0.500, 0.500, 0.500) [1 per cell]
Pb (0.500, 0.500, 0.000) [1 per cell]

## Properties
Formation energy from the elements, eV/atom: -0.0216

Density functional theory data (GGA-PBE) for an optimized crystal structure of Na2GaCoRe.

Lattice parameters (Å, degrees): 5.092 5.092 4.476 90.00 90.00 90.00
Space group P4/mmm (No. 123)
Asymmetric unit:
Na (0.000, 0.500, 0.000) [2 per cell]
Ga (0.000, 0.000, 0.000) [1 per cell]
Co (0.000, 0.000, 0.500) [1 per cell]
Re (0.500, 0.500, 0.500) [1 per cell]

## Properties
Formation energy from the elements, eV/atom: 1.6044

Density functional theory data (GGA-PBE) for an optimized crystal structure of NaGaCo2Si.

Lattice parameters (Å, degrees): 4.471 4.471 4.720 90.00 90.00 90.00
Space group P4/mmm (No. 123)
Asymmetric unit:
Na (0.000, 0.000, 0.000) [1 per cell]
Ga (0.500, 0.500, 0.500) [1 per cell]
Co (0.000, 0.500, 0.000) [2 per cell]
Si (0.000, 0.000, 0.500) [1 per cell]

## Properties
Formation energy from raw total energies, kJ/mol of formula units: 831.1

Density functional theory data (GGA-PBE) for an optimized crystal structure of NaSrGa2Co.

Lattice parameters (Å, degrees): 4.659 4.659 5.154 90.00 90.00 90.00
Space group P4/mmm (No. 123)
Asymmetric unit:
Na (0.000, 0.000, 0.000) [1 per cell]
Sr (0.500, 0.500, 0.000) [1 per cell]
Ga (0.000, 0.500, 0.500) [2 per cell]
Co (0.000, 0.000, 0.500) [1 per cell]

## Properties
Formation energy from the elements, eV/atom: -0.1122

Density functional theory data (GGA-PBE) for an optimized crystal structure of NaGa2CoTc.

Lattice parameters (Å, degrees): 4.495 4.495 4.760 90.00 90.00 90.00
Space group P4/mmm (No. 123)
Asymmetric unit:
Na (0.000, 0.000, 0.000) [1 per cell]
Ga (0.000, 0.500, 0.500) [2 per cell]
Co (0.000, 0.000, 0.500) [1 per cell]
Tc (0.500, 0.500, 0.000) [1 per cell]

## Properties
Formation energy from the elements, eV/atom: 0.8545

Density functional theory data (GGA-PBE) for an optimized crystal structure of NaTiGaCo2.

Lattice parameters (Å, degrees): 4.290 4.290 4.443 90.00 90.00 90.00
Space group P4/mmm (No. 123)
Asymmetric unit:
Na (0.000, 0.000, 0.000) [1 per cell]
Ti (0.500, 0.500, 0.500) [1 per cell]
Ga (0.000, 0.000, 0.500) [1 per cell]
Co (0.000, 0.500, 0.000) [2 per cell]

## Properties
Formation energy from the elements, eV/atom: 1.4938

Density functional theory data (GGA-PBE) for an optimized crystal structure of Nb2GaCo.

Lattice parameters (Å, degrees): 7.030 7.030 5.375 90.00 90.00 90.00
Space group I-42d (No. 122)
Asymmetric unit:
Nb (0.215, 0.250, 0.125) [8 per cell]
Ga (0.000, 0.000, 0.500) [4 per cell]
Co (0.000, 0.000, 0.000) [4 per cell]

## Properties
Formation energy from the elements, eV/atom: 0.1806

Density functional theory data (GGA-PBE) for an optimized crystal structure of NbGaCo4.

Lattice parameters (Å, degrees): 4.038 16.907 4.727 90.00 90.00 90.00
Space group Cmcm (No. 63)
Asymmetric unit:
Nb (0.000, 0.149, 0.250) [4 per cell]
Ga (0.000, 0.417, 0.250) [4 per cell]
Co (0.000, 0.000, 0.000) [4 per cell]
Co (0.000, 0.290, 0.009) [8 per cell]
Co (0.000, 0.442, 0.750) [4 per cell]

## Properties
Polymorph energy (0 for the lowest one), eV per formula unit: 1.488
Formation energy from the elements, eV/atom: 0.1026

Density functional theory data (GGA-PBE) for an optimized crystal structure of NbGa3Co.

Lattice parameters (Å, degrees): 4.404 4.404 4.404 90.00 90.00 90.00
Space group Pm-3m (No. 221)
Asymmetric unit:
Nb (0.000, 0.000, 0.000) [1 per cell]
Ga (0.000, 0.500, 0.500) [3 per cell]
Co (0.500, 0.500, 0.500) [1 per cell]

## Properties
Polymorph energy (0 for the lowest one), eV per formula unit: 0.000
Formation energy from the elements, eV/atom: 0.3448

Density functional theory data (GGA-PBE) for an optimized crystal structure of NbGaCo.

Lattice parameters (Å, degrees): 4.2066 4.2066 2.8028 90.00 90.00 120.00
Space group P-6m2 (No. 187)
Asymmetric unit:
Nb (0.0000, 0.0000, 0.0000) [1 per cell]
Ga (0.6667, 0.3333, 0.5000) [1 per cell]
Co (0.3333, 0.6667, 0.5000) [1 per cell]

## Properties
Formation energy from the elements, eV/atom: -0.2789

Density functional theory data (GGA-PBE) for an optimized crystal structure of Nb2GaCo3.

Lattice parameters (Å, degrees): 4.9159 4.9159 7.6638 90.00 90.00 120.00
Space group P6_3/mmc (No. 194)
Asymmetric unit:
Nb (0.3333, 0.6667, 0.0581) [4 per cell]
Ga (0.0000, 0.0000, 0.0000) [2 per cell]
Co (0.1725, 0.3451, 0.7500) [6 per cell]

## Properties
Formation energy from the elements, eV/atom: -0.2606

| no. | N(E_F) (states/eV/atom) |
| --- | --- |
| 1 | 0.94 |
| 2 | 0.76 |
| 3 | 0.91 |
| 4 | 1.17 |
| 5 | 0.55 |
| 6 | 0.70 |
| 7 | 1.46 |
| 8 | 1.04 |
| 9 | 1.29 |
| 10 | 1.14 |
| 11 | 0.49 |
| 12 | 1.36 |